# Be2CdAs

Crystalline Be2CdAs at its relaxed geometry (PBE-GGA, Alexandria via LeMat-Bulk).

a b c (Å): 8.418 8.418 8.418
angles (deg): 20.14 20.14 20.14
Fractional coordinates of all 4 atoms:
Be1 0.993 0.993 0.993
Cd1 0.512 0.512 0.512
As1 0.731 0.731 0.731
Be2 0.264 0.264 0.264

Calculated values
Space group ... R3m (160)
Formation energy ... 466 meV/atom
DOS at the Fermi energy ... 1.12 states/eV per cell

=====

# CaInIr3

Crystalline CaInIr3 at its relaxed geometry (PBE-GGA, Alexandria via LeMat-Bulk).

a b c (Å): 4.923 4.923 4.923
angles (deg): 90.00 90.00 90.00
Each line ends with the local moment (μB).
Fractional coordinates of all 5 atoms:
Ca1 0.500 0.500 0.500  -0.01
Ir1 0.500 0.000 0.000  0.29
In1 0.000 0.000 0.000  -0.01
Ir2 0.000 0.000 0.500  0.58
Ir3 0.000 0.500 0.000  0.47

Calculated values
Space group ... Pm-3m (221)
Formation energy ... 1217 meV/atom
DOS at the Fermi energy ... 8.08 states/eV per cell

=====

# Rb3ZnF7

Crystalline Rb3ZnF7 at its relaxed geometry (PBE-GGA, Alexandria via LeMat-Bulk).

a b c (Å): 6.092 8.139 8.139
angles (deg): 90.00 90.00 90.00
Each line ends with the local moment (μB).
Fractional coordinates of all 22 atoms:
F1 0.767 0.616 0.116  0.21
F2 0.233 0.884 0.616  0.21
F3 0.000 0.667 0.833  0.23
F4 0.233 0.116 0.384  0.21
F5 0.000 0.833 0.333  0.23
Rb1 0.000 0.500 0.500  0.00
Rb2 0.000 0.000 0.000  0.00
F6 0.767 0.384 0.884  0.21
Rb3 0.500 0.683 0.817  0.01
Zn1 0.000 0.000 0.500  0.31
F7 0.233 0.384 0.884  0.21
F8 0.000 0.167 0.667  0.23
F9 0.767 0.884 0.616  0.21
F10 0.233 0.616 0.116  0.21
Zn2 0.000 0.500 0.000  0.31
Rb4 0.500 0.817 0.317  0.01
F11 0.767 0.116 0.384  0.21
F12 0.500 0.000 0.000  0.22
F13 0.000 0.333 0.167  0.23
F14 0.500 0.500 0.500  0.22
Rb5 0.500 0.317 0.183  0.01
Rb6 0.500 0.183 0.683  0.01

Calculated values
Space group ... P4/mbm (127)
E_form (uncorrected) ... -2.1691 eV/atom
DOS at the Fermi energy ... 18.51 states/eV per cell

=====

# BaCu2Te

Crystalline BaCu2Te at its relaxed geometry (PBE-GGA, Alexandria via LeMat-Bulk).

a b c (Å): 4.510 5.013 6.398
angles (deg): 45.40 90.00 90.00
Fractional coordinates of all 4 atoms:
Cu1 0.000 0.000 0.000
Cu2 0.500 0.500 0.000
Te1 0.500 0.500 0.500
Ba1 0.000 0.000 0.500

Calculated values
Space group ... P2/m (10)
E_form (uncorrected) ... 0.0247 eV/atom
DOS at the Fermi energy ... 1.55 states/eV per cell